# 1
Entry from Alexandria: crystalline LuPuSi2 at its relaxed geometry (GGA-PBE).

For the uncorrected formation energy, the calculation gives -156 kJ/mol of formula units. The calculation puts the energy relative to the lowest polymorph listed for this composition at 0 meV per atom. The calculation puts the total energy at -7.83 eV/atom.

It has space group P4/mmm (No. 123), with a = 3.198 Å, b = 3.198 Å, c = 7.916 Å, α = 90.00°, β = 90.00° and γ = 90.00°. The distinct sites, in fractional coordinates, are Lu at (0.000, 0.000, 0.000), Pu at (0.000, 0.000, 0.500) and Si at (0.500, 0.500, 0.246).

***

# 2
Entry from Alexandria: crystalline NdTmPbAu at its relaxed geometry (GGA-PBE).

As for the formation energy: -2.34 eV/f.u. The calculation puts the total energy at -4.64 eV/atom.

It has space group F-43m (No. 216), with a = 7.521 Å, b = 7.521 Å, c = 7.521 Å, α = 90.00°, β = 90.00° and γ = 90.00°. The distinct sites, in fractional coordinates, are Nd at (0.000, 0.000, 0.000), Tm at (0.000, 0.000, 0.500), Pb at (0.250, 0.250, 0.750) and Au at (0.250, 0.250, 0.250).

***

# 3
Entry from Alexandria: crystalline Ti2AgW at its relaxed geometry (GGA-PBE).

As for the formation energy: 0.37 eV/f.u. The calculation puts the energy relative to the lowest polymorph listed for this composition at 114 meV per atom. The calculation puts the total energy at -7.81 eV/atom.

It has space group Fm-3m (No. 225), with a = 6.405 Å, b = 6.405 Å, c = 6.405 Å, α = 90.00°, β = 90.00° and γ = 90.00°. The distinct sites, in fractional coordinates, are Ti at (0.250, 0.250, 0.250), Ag at (0.000, 0.000, 0.000) and W at (0.000, 0.000, 0.500).

***

# 4
Entry from Alexandria: crystalline Li5Tl2In2 at its relaxed geometry (GGA-PBE).

As for the formation energy: -1.92 eV/f.u. The calculation puts the total energy at -2.41 eV/atom.

It has space group C2/m (No. 12), with a = 9.385 Å, b = 4.966 Å, c = 8.105 Å, α = 90.00°, β = 100.27° and γ = 90.00°. The distinct sites, in fractional coordinates, are Li at (0.000, 0.000, 0.000), Li at (0.053, 0.500, 0.333), Li at (0.127, 0.000, 0.701), Tl at (0.205, 0.000, 0.368) and In at (0.160, 0.500, 0.960).

***

# 5
Entry from Alexandria: crystalline Rb3Nd3SbSe8 at its relaxed geometry (GGA-PBE).

For the uncorrected formation energy, the calculation gives -2032 kJ/mol of formula units. The calculation puts the total energy at -4.68 eV/atom.

It has space group R-3m (No. 166, hexagonal axes), with a = 8.5979 Å, b = 8.5979 Å, c = 24.5258 Å, α = 90.00°, β = 90.00° and γ = 120.00°. The distinct sites, in fractional coordinates, are Rb at (0.0000, 0.5000, 0.0000), Nd at (0.0000, 0.5000, 0.5000), Sb at (0.0000, 0.0000, 0.5000), Se at (0.0000, 0.0000, 0.2334) and Se at (0.0165, 0.5083, 0.2308).

***

# 6
Entry from Alexandria: crystalline Ac10PmPr4 at its relaxed geometry (GGA-PBE).

As for the formation energy: 8.75 eV/f.u. The calculation puts the total energy at -3.75 eV/atom.

It has space group I4/m (No. 87), with a = 13.174 Å, b = 13.174 Å, c = 8.305 Å, α = 90.00°, β = 90.00° and γ = 90.00°. The distinct sites, in fractional coordinates, are Ac at (0.000, 0.500, 0.250), Ac at (0.100, 0.199, 0.249), Pm at (0.000, 0.000, 0.000) and Pr at (0.100, 0.700, 0.500).

***

# 7
Entry from Alexandria: crystalline HoAgHgBi at its relaxed geometry (GGA-PBE).

As for the formation energy: -0.93 eV/f.u. The calculation puts the total energy at -3.14 eV/atom.

It has space group F-43m (No. 216), with a = 7.384 Å, b = 7.384 Å, c = 7.384 Å, α = 90.00°, β = 90.00° and γ = 90.00°. The distinct sites, in fractional coordinates, are Ho at (0.000, 0.000, 0.000), Ag at (0.000, 0.000, 0.500), Hg at (0.250, 0.250, 0.750) and Bi at (0.250, 0.250, 0.250).

***

# 8
Entry from Alexandria: crystalline P2S3Br at its relaxed geometry (GGA-PBE).

For the uncorrected formation energy, the calculation gives 24 kJ/mol of formula units. The calculation puts the total energy at -4.10 eV/atom.

It has space group C2/m (No. 12), with a = 21.348 Å, b = 4.221 Å, c = 8.424 Å, α = 90.00°, β = 104.11° and γ = 90.00°. The distinct sites, in fractional coordinates, are P at (0.068, 0.000, 0.254), P at (0.203, 0.500, 0.372), S at (0.022, 0.000, 0.753), S at (0.114, 0.500, 0.432), S at (0.236, 0.000, 0.345) and Br at (0.161, 0.500, 0.077).

***

# 9
Entry from Alexandria: crystalline LaCeTmAl at its relaxed geometry (GGA-PBE).

As for the formation energy: -0.07 eV/f.u. The calculation puts the total energy at -4.79 eV/atom.

It has space group F-43m (No. 216), with a = 7.687 Å, b = 7.687 Å, c = 7.687 Å, α = 90.00°, β = 90.00° and γ = 90.00°. The distinct sites, in fractional coordinates, are La at (0.000, 0.000, 0.000), Ce at (0.000, 0.000, 0.500), Tm at (0.250, 0.250, 0.750) and Al at (0.250, 0.250, 0.250).

***

# 10
Entry from Alexandria: crystalline CrReAu2 at its relaxed geometry (GGA-PBE).

As for the formation energy: 1.89 eV/f.u. The calculation puts the energy relative to the lowest polymorph listed for this composition at 203 meV per atom. The calculation puts the total energy at -6.69 eV/atom.

It has space group I4/mmm (No. 139), with a = 3.873 Å, b = 3.873 Å, c = 8.501 Å, α = 90.00°, β = 90.00° and γ = 90.00°. The distinct sites, in fractional coordinates, are Cr at (0.000, 0.000, 0.000), Re at (0.000, 0.000, 0.500) and Au at (0.000, 0.500, 0.250).

***

# 11
Entry from Alexandria: crystalline LaPm14Nd at its relaxed geometry (GGA-PBE).

As for the formation energy: 0.54 eV/f.u. The calculation puts the total energy at -4.73 eV/atom.

It has space group Amm2 (No. 38), with a = 11.857 Å, b = 7.393 Å, c = 12.796 Å, α = 90.00°, β = 90.00° and γ = 90.00°. The distinct sites, in fractional coordinates, are La at (0.000, 0.000, 0.000), Pm at (0.000, 0.249, 0.251), Pm at (0.250, 0.000, 0.667), Pm at (0.251, 0.000, 0.167), Pm at (0.252, 0.250, 0.417), Pm at (0.500, 0.000, 0.000), Pm at (0.500, 0.000, 0.501), Pm at (0.500, 0.250, 0.250) and Nd at (0.000, 0.000, 0.500).

***

# 12
Entry from Alexandria: crystalline RbLaNiN2 at its relaxed geometry (GGA-PBE).

For the uncorrected formation energy, the calculation gives 1163 kJ/mol of formula units. The calculation puts the total energy at -3.26 eV/atom.

It has space group P4/mmm (No. 123), with a = 4.416 Å, b = 4.416 Å, c = 5.786 Å, α = 90.00°, β = 90.00° and γ = 90.00°. The distinct sites, in fractional coordinates, are Rb at (0.000, 0.000, 0.000), La at (0.000, 0.000, 0.500), Ni at (0.500, 0.500, 0.500) and N at (0.000, 0.500, 0.000).

***

# 13
Entry from Alexandria: crystalline Ho6HgAu5 at its relaxed geometry (GGA-PBE).

As for the formation energy: -9.68 eV/f.u. The calculation puts the total energy at -4.49 eV/atom.

It has space group Immm (No. 71), with a = 5.101 Å, b = 7.185 Å, c = 15.320 Å, α = 90.00°, β = 90.00° and γ = 90.00°. The distinct sites, in fractional coordinates, are Ho at (0.000, 0.243, 0.000), Ho at (0.000, 0.253, 0.330), Hg at (0.000, 0.000, 0.500), Au at (0.000, 0.000, 0.167), Au at (0.000, 0.500, 0.161) and Au at (0.000, 0.500, 0.500).

***

# 14
Entry from Alexandria: crystalline PaSb2Ru at its relaxed geometry (GGA-PBE).

For the uncorrected formation energy, the calculation gives -70 kJ/mol of formula units. The calculation puts the total energy at -6.94 eV/atom.

It has space group P4/mmm (No. 123), with a = 4.601 Å, b = 4.601 Å, c = 4.119 Å, α = 90.00°, β = 90.00° and γ = 90.00°. The distinct sites, in fractional coordinates, are Pa at (0.000, 0.000, 0.000), Sb at (0.000, 0.500, 0.500) and Ru at (0.500, 0.500, 0.000).

***

# 15
Entry from Alexandria: crystalline SrP2RuO at its relaxed geometry (GGA-PBE).

For the uncorrected formation energy, the calculation gives -176 kJ/mol of formula units. The calculation puts the energy relative to the lowest polymorph listed for this composition at 0 meV per atom. The calculation puts the total energy at -5.71 eV/atom.

It has space group P4/mmm (No. 123), with a = 4.466 Å, b = 4.466 Å, c = 4.736 Å, α = 90.00°, β = 90.00° and γ = 90.00°. The distinct sites, in fractional coordinates, are Sr at (0.000, 0.000, 0.000), P at (0.000, 0.500, 0.500), Ru at (0.500, 0.500, 0.500) and O at (0.500, 0.500, 0.000).

***

# 16
Entry from Alexandria: crystalline RbNaPaI6 at its relaxed geometry (GGA-PBE).

For the uncorrected formation energy, the calculation gives -1010 kJ/mol of formula units. The calculation puts the total energy at -3.51 eV/atom.

It has space group P-31c (No. 163), with a = 8.1732 Å, b = 8.1732 Å, c = 16.1529 Å, α = 90.00°, β = 90.00° and γ = 120.00°. The distinct sites, in fractional coordinates, are Rb at (0.0000, 0.0000, 0.0000), Na at (0.3333, 0.6667, 0.2500), Pa at (0.3333, 0.6667, 0.7500) and I at (0.0199, 0.3749, 0.6399).

***

# 17
Entry from Alexandria: crystalline KRbTl2Cu at its relaxed geometry (GGA-PBE).

As for the formation energy: 0.71 eV/f.u. The calculation puts the energy relative to the lowest polymorph listed for this composition at 31 meV per atom. The calculation puts the total energy at -2.04 eV/atom.

It has space group P4/mmm (No. 123), with a = 5.456 Å, b = 5.456 Å, c = 6.276 Å, α = 90.00°, β = 90.00° and γ = 90.00°. The distinct sites, in fractional coordinates, are K at (0.000, 0.000, 0.000), Rb at (0.500, 0.500, 0.000), Tl at (0.000, 0.500, 0.500) and Cu at (0.500, 0.500, 0.500).

***

# 18
Entry from Alexandria: crystalline Y4AlFe8 at its relaxed geometry (GGA-PBE).

As for the formation energy: 2.74 eV/f.u. The calculation puts the total energy at -7.27 eV/atom.

It has space group I4/mmm (No. 139), with a = 7.339 Å, b = 7.339 Å, c = 8.963 Å, α = 90.00°, β = 90.00° and γ = 90.00°. The distinct sites, in fractional coordinates, are Y at (0.250, 0.250, 0.250), Al at (0.000, 0.000, 0.000), Fe at (0.000, 0.223, 0.500) and Fe at (0.000, 0.339, 0.000).

***

# 19
Entry from Alexandria: crystalline Ho3MgRh3 at its relaxed geometry (GGA-PBE).

As for the formation energy: -4.82 eV/f.u. The calculation puts the total energy at -6.03 eV/atom.

It has space group Cmmm (No. 65), with a = 9.465 Å, b = 9.523 Å, c = 6.545 Å, α = 90.00°, β = 90.00° and γ = 90.00°. The distinct sites, in fractional coordinates, are Ho at (0.000, 0.239, 0.000), Ho at (0.233, 0.000, 0.500), Ho at (0.239, 0.500, 0.000), Mg at (0.000, 0.271, 0.500), Rh at (0.000, 0.500, 0.250) and Rh at (0.250, 0.250, 0.255).

***

# 20
Entry from Alexandria: crystalline CoIr2Rh at its relaxed geometry (GGA-PBE).

As for the formation energy: 1.17 eV/f.u. The calculation puts the energy relative to the lowest polymorph listed for this composition at 282 meV per atom. The calculation puts the total energy at -7.75 eV/atom.

It has space group Cmm2 (No. 35), with a = 2.692 Å, b = 4.656 Å, c = 9.030 Å, α = 90.00°, β = 90.00° and γ = 90.00°. The distinct sites, in fractional coordinates, are Co at (0.000, 0.000, 0.000), Ir at (0.000, 0.000, 0.499), Ir at (0.000, 0.500, 0.760) and Rh at (0.000, 0.500, 0.240).